# 1
This record from Alexandria describes a relaxed structure of IrRu2W. The functional is PBE.

**Total magnetization**: 0.99 μB/f.u.
**Calculated formation energy**: 0.251 eV per atom
**Energy**: -9.84 eV per atom

Unit cell a=3.297 b=3.297 c=5.529 alpha=90.00 beta=90.00 gamma=90.00
Positions (direct):
1 Ru 0.500 0.500 0.245
2 Ru 0.000 0.000 0.994
3 W 0.000 0.000 0.508
4 Ir 0.500 0.500 0.753

=====

# 2
This record from Alexandria describes a relaxed structure of Be5Ir4. The functional is PBE.

**Total magnetization**: 0.00 μB/f.u.
**Calculated formation energy**: -0.321 eV per atom
**Energy**: -6.33 eV per atom

Unit cell a=6.007 b=6.007 c=6.007 alpha=93.50 beta=93.50 gamma=151.40
Positions (direct):
1 Ir 0.000 0.708 0.708
2 Ir 0.000 0.292 0.292
3 Ir 0.708 0.000 0.708
4 Ir 0.292 0.000 0.292
5 Be 0.000 0.000 0.000
6 Be 0.678 0.678 0.357
7 Be 0.322 0.322 0.643
8 Be 0.678 0.322 0.000
9 Be 0.322 0.678 0.000

=====

# 3
This record from Alexandria describes a relaxed structure of Cd2MoIr2. The functional is PBE.

**Total magnetization**: 0.00 μB/f.u.
**Calculated formation energy**: 0.292 eV per atom
**Energy**: -5.78 eV per atom

Unit cell a=6.537 b=6.537 c=4.366 alpha=90.00 beta=90.00 gamma=90.00
Positions (direct):
1 Ir 0.366 0.866 0.000
2 Ir 0.634 0.134 0.000
3 Ir 0.866 0.634 0.000
4 Ir 0.134 0.366 0.000
5 Mo 0.000 0.000 0.000
6 Mo 0.500 0.500 0.000
7 Cd 0.826 0.326 0.500
8 Cd 0.674 0.826 0.500
9 Cd 0.174 0.674 0.500
10 Cd 0.326 0.174 0.500

=====

# 4
This record from Alexandria describes a relaxed structure of Pm5SnS4. The functional is PBE.

**Total magnetization**: 0.00 μB/f.u.
**Raw formation energy**: -1.740 eV per atom
**Energy**: -6.17 eV per atom

Unit cell a=5.861 b=7.168 c=7.168 alpha=80.38 beta=65.87 gamma=65.87
Positions (direct):
1 S 0.201 0.195 0.405
2 S 0.801 0.805 0.595
3 S 0.396 0.405 0.805
4 S 0.606 0.595 0.195
5 Sn 0.001 0.000 0.000
6 Pm 0.104 0.585 0.209
7 Pm 0.898 0.415 0.791
8 Pm 0.501 0.000 0.000
9 Pm 0.689 0.209 0.415
10 Pm 0.313 0.791 0.585

=====

# 5
This record from Alexandria describes a relaxed structure of Dy2ScAlC. The functional is PBE.

**Total magnetization**: 0.00 μB/f.u.
**Calculated formation energy**: -0.447 eV per atom
**Energy**: -6.15 eV per atom

Unit cell a=4.523 b=4.894 c=4.894 alpha=90.00 beta=90.00 gamma=90.00
Positions (direct):
1 C 0.000 0.000 0.000
2 Dy 0.000 0.000 0.500
3 Dy 0.000 0.500 0.000
4 Al 0.500 0.500 0.500
5 Sc 0.500 0.000 0.000

=====

# 6
This record from Alexandria describes a relaxed structure of B5C7. The functional is PBE.

**Total magnetization**: 0.00 μB/f.u.
**Calculated formation energy**: 0.343 eV per atom
**Energy**: -7.82 eV per atom

Unit cell a=4.756 b=4.593 c=5.263 alpha=106.97 beta=107.45 gamma=46.60
Positions (direct):
1 B 0.689 0.623 0.313
2 B 0.558 0.164 0.435
3 B 0.266 0.709 0.280
4 B 0.946 0.043 0.026
5 B 0.300 0.707 0.708
6 C 0.925 0.416 0.069
7 C 0.983 0.037 0.505
8 C 0.929 0.423 0.593
9 C 0.569 0.080 0.916
10 C 0.325 0.333 0.679
11 C 0.684 0.660 0.829
12 C 0.325 0.304 0.147

=====

# 7
This record from Alexandria describes a relaxed structure of Y5TmHg6. The functional is PBE.

**Total magnetization**: 0.00 μB/f.u.
**Calculated formation energy**: -0.506 eV per atom
**Energy**: -3.72 eV per atom

Unit cell a=5.244 b=7.457 c=8.322 alpha=90.00 beta=71.63 gamma=90.00
Positions (direct):
1 Tm 0.000 0.000 0.000
2 Hg 0.835 0.752 0.331
3 Hg 0.165 0.248 0.669
4 Hg 0.835 0.248 0.331
5 Hg 0.500 0.247 0.000
6 Hg 0.165 0.752 0.669
7 Hg 0.500 0.753 0.000
8 Y 0.334 0.000 0.332
9 Y 0.000 0.500 0.000
10 Y 0.666 0.000 0.668
11 Y 0.332 0.500 0.335
12 Y 0.668 0.500 0.665

=====

# 8
This record from Alexandria describes a relaxed structure of Rb2NaRu. The functional is PBE.

**Total magnetization**: 2.27 μB/f.u.
**Calculated formation energy**: 1.106 eV per atom
**Energy**: -2.03 eV per atom

Unit cell a=6.116 b=6.116 c=6.116 alpha=60.00 beta=60.00 gamma=60.00
Positions (direct):
1 Rb 0.750 0.750 0.750
2 Rb 0.250 0.250 0.250
3 Ru 0.500 0.500 0.500
4 Na 0.000 0.000 0.000

=====

# 9
This record from Alexandria describes a relaxed structure of LaThZnIr. The functional is PBE.

**Total magnetization**: 0.00 μB/f.u.
**Calculated formation energy**: -0.439 eV per atom
**Energy**: -6.06 eV per atom

Unit cell a=5.140 b=5.140 c=5.140 alpha=60.00 beta=60.00 gamma=60.00
Positions (direct):
1 La 0.000 0.000 0.000
2 Ir 0.750 0.750 0.750
3 Th 0.500 0.500 0.500
4 Zn 0.250 0.250 0.250

=====

# 10
This record from Alexandria describes a relaxed structure of TbCN. The functional is PBE.

**Total magnetization**: 0.00 μB/f.u.
**Raw formation energy**: -0.536 eV per atom
**Energy**: -7.93 eV per atom

Unit cell a=3.615 b=3.615 c=3.977 alpha=117.03 beta=117.03 gamma=90.00
Positions (direct):
1 Tb 0.618 0.618 0.236
2 C 0.221 0.221 0.442
3 N 0.011 0.011 0.022

=====

# 11
This record from Alexandria describes a relaxed structure of CrRhCl2. The functional is PBE.

**Total magnetization**: 3.00 μB/f.u.
**Raw formation energy**: -0.223 eV per atom
**Energy**: -5.39 eV per atom

Unit cell a=3.534 b=3.583 c=7.584 alpha=61.94 beta=90.00 gamma=90.00
Positions (direct):
1 Cl 0.500 0.284 0.353
2 Cl 0.000 0.221 0.901
3 Rh 0.500 0.688 0.682
4 Cr 0.000 0.307 0.564

=====

# 12
This record from Alexandria describes a relaxed structure of NiPbCl3. The functional is PBE.

**Total magnetization**: 0.96 μB/f.u.
**Raw formation energy**: 0.029 eV per atom
**Energy**: -2.98 eV per atom

Unit cell a=5.595 b=5.595 c=5.595 alpha=90.00 beta=90.00 gamma=90.00
Positions (direct):
1 Cl 0.500 0.000 0.000
2 Cl 0.000 0.000 0.500
3 Cl 0.000 0.500 0.000
4 Pb 0.000 0.000 0.000
5 Ni 0.500 0.500 0.500

=====

# 13
This record from Alexandria describes a relaxed structure of GaBi3Pb. The functional is PBE.

**Total magnetization**: 0.00 μB/f.u.
**Calculated formation energy**: 0.797 eV per atom
**Energy**: -2.88 eV per atom

Unit cell a=5.962 b=5.962 c=5.962 alpha=90.00 beta=90.00 gamma=90.00
Positions (direct):
1 Bi 0.000 0.500 0.000
2 Bi 0.000 0.000 0.500
3 Bi 0.500 0.000 0.000
4 Ga 0.500 0.500 0.500
5 Pb 0.000 0.000 0.000

=====

# 14
This record from Alexandria describes a relaxed structure of NdSmAlCd. The functional is PBE.

**Total magnetization**: 0.00 μB/f.u.
**Calculated formation energy**: -0.335 eV per atom
**Energy**: -3.87 eV per atom

Unit cell a=5.344 b=5.344 c=5.344 alpha=60.00 beta=60.00 gamma=60.00
Positions (direct):
1 Cd 0.750 0.750 0.750
2 Al 0.250 0.250 0.250
3 Sm 0.500 0.500 0.500
4 Nd 0.000 0.000 0.000

=====

# 15
This record from Alexandria describes a relaxed structure of MnSb2Rh. The functional is PBE.

**Total magnetization**: 4.09 μB/f.u.
**Raw formation energy**: 0.041 eV per atom
**Energy**: -6.15 eV per atom

Unit cell a=3.240 b=3.240 c=7.254 alpha=90.00 beta=90.00 gamma=90.07
Positions (direct):
1 Mn 0.500 0.500 0.250
2 Sb 0.000 0.000 0.513
3 Sb 0.000 0.000 0.987
4 Rh 0.500 0.500 0.750

=====

# 16
This record from Alexandria describes a relaxed structure of Cd2HgBr. The functional is PBE.

**Total magnetization**: 0.00 μB/f.u.
**Raw formation energy**: -0.179 eV per atom
**Energy**: -1.13 eV per atom

Unit cell a=5.305 b=5.305 c=6.807 alpha=65.41 beta=65.41 gamma=44.91
Positions (direct):
1 Cd 0.264 0.264 0.258
2 Cd 0.005 0.005 0.045
3 Hg 0.515 0.515 0.421
4 Br 0.716 0.716 0.775

=====

# 17
This record from Alexandria describes a relaxed structure of HfZr2CdBi. The functional is PBE.

**Total magnetization**: 0.00 μB/f.u.
**Calculated formation energy**: 1.149 eV per atom
**Energy**: -5.22 eV per atom

Unit cell a=5.407 b=5.407 c=5.235 alpha=90.00 beta=90.00 gamma=90.00
Positions (direct):
1 Bi 0.000 0.000 0.000
2 Cd 0.000 0.000 0.500
3 Zr 0.000 0.500 0.000
4 Zr 0.500 0.000 0.000
5 Hf 0.500 0.500 0.500

=====

# 18
This record from Alexandria describes a relaxed structure of MgCd11Ga. The functional is PBE.

**Total magnetization**: 0.00 μB/f.u.
**Calculated formation energy**: 0.063 eV per atom
**Energy**: -1.07 eV per atom

Unit cell a=6.125 b=7.748 c=7.553 alpha=81.03 beta=66.08 gamma=67.38
Positions (direct):
1 Cd 0.994 0.347 0.654
2 Cd 0.648 0.347 0.346
3 Cd 0.710 0.784 0.786
4 Cd 0.000 0.500 0.000
5 Cd 0.500 0.000 0.500
6 Cd 0.496 0.784 0.214
7 Cd 0.352 0.653 0.654
8 Cd 0.006 0.653 0.346
9 Cd 0.000 0.000 0.500
10 Cd 0.504 0.216 0.786
11 Cd 0.290 0.216 0.214
12 Mg 0.000 0.000 0.000
13 Ga 0.500 0.500 0.000

=====

# 19
This record from Alexandria describes a relaxed structure of Tb4CdPd15. The functional is PBE.

**Total magnetization**: 0.00 μB/f.u.
**Calculated formation energy**: -0.740 eV per atom
**Energy**: -5.61 eV per atom

Unit cell a=4.104 b=4.104 c=20.628 alpha=90.00 beta=90.00 gamma=90.00
Positions (direct):
1 Pd 0.500 0.500 0.802
2 Pd 0.500 0.500 0.000
3 Pd 0.500 0.500 0.198
4 Pd 0.000 0.500 0.500
5 Pd 0.000 0.500 0.702
6 Pd 0.500 0.000 0.500
7 Pd 0.000 0.500 0.097
8 Pd 0.500 0.000 0.298
9 Pd 0.000 0.500 0.903
10 Pd 0.500 0.500 0.399
11 Pd 0.500 0.500 0.601
12 Pd 0.000 0.500 0.298
13 Pd 0.500 0.000 0.702
14 Pd 0.500 0.000 0.097
15 Pd 0.500 0.000 0.903
16 Cd 0.000 0.000 0.000
17 Tb 0.000 0.000 0.399
18 Tb 0.000 0.000 0.803
19 Tb 0.000 0.000 0.601
20 Tb 0.000 0.000 0.197

=====

# 20
This record from Alexandria describes a relaxed structure of BaWCl. The functional is PBE.

**Total magnetization**: 0.00 μB/f.u.
**Raw formation energy**: 0.753 eV per atom
**Energy**: -4.82 eV per atom

Unit cell a=7.307 b=7.309 c=3.168 alpha=77.46 beta=77.46 gamma=25.04
Positions (direct):
1 W 0.692 0.691 0.308
2 Cl 0.307 0.307 0.693
3 Ba 0.002 0.002 0.998

=====

# 21
This record from Alexandria describes a relaxed structure of Li3AsPd. The functional is PBE.

**Total magnetization**: 0.00 μB/f.u.
**Calculated formation energy**: -0.071 eV per atom
**Energy**: -3.19 eV per atom

Unit cell a=4.650 b=4.650 c=4.650 alpha=90.00 beta=90.00 gamma=90.00
Positions (direct):
1 Pd 0.500 0.500 0.500
2 Li 0.000 0.500 0.000
3 Li 0.000 0.000 0.500
4 Li 0.500 0.000 0.000
5 As 0.000 0.000 0.000

=====

# 22
This record from Alexandria describes a relaxed structure of Ho2SiPPt6. The functional is PBE.

**Total magnetization**: 0.00 μB/f.u.
**Raw formation energy**: -0.963 eV per atom
**Energy**: -6.59 eV per atom

Unit cell a=5.530 b=8.181 c=8.345 alpha=90.00 beta=90.00 gamma=90.00
Positions (direct):
1 Ho 0.000 0.267 0.258
2 Ho 0.000 0.267 0.742
3 Ho 0.500 0.733 0.758
4 Ho 0.500 0.733 0.242
5 Pt 0.500 0.129 0.756
6 Pt 0.252 0.985 0.000
7 Pt 0.500 0.129 0.244
8 Pt 0.752 0.015 0.500
9 Pt 0.252 0.507 0.500
10 Pt 0.748 0.985 0.000
11 Pt 0.000 0.871 0.256
12 Pt 0.248 0.493 0.000
13 Pt 0.752 0.493 0.000
14 Pt 0.000 0.871 0.744
15 Pt 0.248 0.015 0.500
16 Pt 0.748 0.507 0.500
17 P 0.500 0.265 0.000
18 P 0.000 0.735 0.500
19 Si 0.500 0.268 0.500
20 Si 0.000 0.732 0.000

=====

# 23
This record from Alexandria describes a relaxed structure of Li2CoH. The functional is PBE.

**Total magnetization**: 1.67 μB/f.u.
**Energy**: -2.87 eV per atom

Unit cell a=4.089 b=4.089 c=4.089 alpha=60.00 beta=60.00 gamma=60.00
Positions (direct):
1 H 0.000 0.000 0.000
2 Li 0.250 0.250 0.250
3 Li 0.750 0.750 0.750
4 Co 0.500 0.500 0.500

=====

# 24
This record from Alexandria describes a relaxed structure of InBi. The functional is PBE.

**Total magnetization**: 0.00 μB/f.u.
**Calculated formation energy**: 0.040 eV per atom
**Energy**: -3.27 eV per atom

Unit cell a=12.170 b=12.170 c=3.363 alpha=90.00 beta=90.00 gamma=90.00
Positions (direct):
1 Bi 0.881 0.857 0.500
2 Bi 0.857 0.119 0.500
3 Bi 0.357 0.619 0.000
4 Bi 0.119 0.143 0.500
5 Bi 0.381 0.357 0.000
6 Bi 0.143 0.881 0.500
7 Bi 0.643 0.381 0.000
8 Bi 0.619 0.643 0.000
9 In 0.380 0.111 0.500
10 In 0.889 0.380 0.500
11 In 0.620 0.889 0.500
12 In 0.111 0.620 0.500
13 In 0.611 0.120 0.000
14 In 0.389 0.880 0.000
15 In 0.120 0.389 0.000
16 In 0.880 0.611 0.000

=====

# 25
This record from Alexandria describes a relaxed structure of PaSb3Pd. The functional is PBE.

**Total magnetization**: 0.00 μB/f.u.
**Raw formation energy**: -0.288 eV per atom
**Energy**: -5.70 eV per atom

Unit cell a=4.650 b=8.176 c=7.741 alpha=91.92 beta=90.01 gamma=106.46
Positions (direct):
1 Pa 0.667 0.333 0.276
2 Pa 0.333 0.667 0.724
3 Sb 0.714 0.429 0.870
4 Sb 0.853 0.707 0.452
5 Sb 0.035 0.067 0.189
6 Sb 0.147 0.293 0.548
7 Sb 0.286 0.571 0.130
8 Sb 0.965 0.933 0.811
9 Pd 0.864 0.728 0.094
10 Pd 0.136 0.272 0.906